1.
Below is crystalline Ac2TeIr at its relaxed geometry, with properties calculated at the GGA-PBE level.

Output
- energy relative to the lowest polymorph listed for this composition (eV per formula unit) = 0.00
- E_form (uncorrected) (eV/atom) = -1.10
- raw total energy (eV/atom) = -6.1559

Geometry as CIF:
```
data_Ac2TeIr
_cell_length_a 8.308
_cell_length_b 8.308
_cell_length_c 8.308
_cell_angle_alpha 30.99
_cell_angle_beta 30.99
_cell_angle_gamma 30.99
_symmetry_space_group_name_H-M 'P 1'
_symmetry_Int_Tables_number 1
_symmetry_space_group_name_Hall 'P 1'
loop_
_atom_site_label
_atom_site_fract_x
_atom_site_fract_y
_atom_site_fract_z
_atom_site_occupancy
Ac1 0.236 0.236 0.236 1
Ac2 0.764 0.764 0.764 1
Te1 0.000 0.000 0.000 1
Ir1 0.500 0.500 0.500 1
```

***

2.
Below is crystalline Fe2MoBr at its relaxed geometry, with properties calculated at the GGA-PBE level.

Output
- energy relative to the lowest polymorph listed for this composition (eV per formula unit) = 1.96
- E_form (uncorrected) (eV/atom) = 0.91
- raw total energy (eV/atom) = -6.4437

Geometry as CIF:
```
data_Fe2MoBr
_cell_length_a 4.932
_cell_length_b 4.932
_cell_length_c 4.932
_cell_angle_alpha 135.00
_cell_angle_beta 135.00
_cell_angle_gamma 65.52
_symmetry_space_group_name_H-M 'P 1'
_symmetry_Int_Tables_number 1
_symmetry_space_group_name_Hall 'P 1'
loop_
_atom_site_label
_atom_site_fract_x
_atom_site_fract_y
_atom_site_fract_z
_atom_site_occupancy
Fe1 0.000 0.000 0.000 1
Fe2 0.750 0.250 0.500 1
Mo1 0.250 0.750 0.500 1
Br1 0.500 0.500 0.000 1
```